# FePd3Pt7 PBE relaxed
data_FePd3Pt7
_space_group_name_H-M_alt 'C 1 2/m 1'
_space_group_IT_number 12
_cell_length_a 9.2518
_cell_length_b 9.1239
_cell_length_c 4.8891
_cell_angle_alpha 90.00
_cell_angle_beta 115.75
_cell_angle_gamma 90.00
loop_
_space_group_symop_operation_xyz
'x,y,z'
'-x,-y,-z'
'-x,y,-z'
'x,-y,z'
'x+1/2,y+1/2,z'
'-x+1/2,-y+1/2,-z'
'-x+1/2,y+1/2,-z'
'x+1/2,-y+1/2,z'
loop_
_atom_site_label
_atom_site_type_symbol
_atom_site_fract_x
_atom_site_fract_y
_atom_site_fract_z
Fe1 Fe 0.0000 0.0000 0.0000
Pd1 Pd 0.0000 0.2923 0.5000
Pd2 Pd 0.0000 0.5000 0.0000
Pt1 Pt 0.0000 0.0000 0.5000
Pt2 Pt 0.1668 0.2493 0.1602
Pt3 Pt 0.2264 0.5000 0.5478
# spin magnetization	4.23	μB/f.u.
# density	15.6	g/cm3
# E_tot	-5.842	eV/atom
# calculated formation energy	0.19	eV per atom